Below is a relaxed InBF3 crystal, with properties calculated at the PBE-GGA level.

```
5
Lattice="4.3324 0.0000 0.0000 0.0000 4.3324 0.0000 0.0000 0.0000 4.3324" Properties=species:S:1:pos:R:3 pbc="T T T"
F 0.0000 2.1662 0.0000
In 0.0000 0.0000 0.0000
F 2.1662 0.0000 0.0000
B 2.1662 2.1662 2.1662
F 0.0000 0.0000 2.1662
```

Results
* symmetry: Pm-3m, No. 221
* ΔE_f (raw): -0.835 eV/atom
* polymorph energy (0 for the lowest one): 1134 meV/atom
* energy: -19.2 eV/cell